1.
SbCl3F2: relaxed, PBE.

Values from the calculation:
- Calculated volume: 28.64 Å³/atom
- Raw formation energy: -1.32 eV per atom
- Uncorrected energy: -3.549 eV per atom

abc: 13.716 13.716 7.306
angles: 90.00 90.00 90.00
Space group I4 (No. 79)
Unique sites:
Sb (0.045, 0.788, 0.000) (multiplicity 8)
Cl (0.041, 0.798, 0.317) (multiplicity 8)
Cl (0.059, 0.345, 0.965) (multiplicity 8)
Cl (0.194, 0.710, 0.969) (multiplicity 8)
F (0.037, 0.823, 0.748) (multiplicity 8)
F (0.076, 0.117, 0.016) (multiplicity 8)

=====

2.
Sb4Cl13F7: relaxed, PBE.

Values from the calculation:
- Calculated volume: 29.89 Å³/atom
- Raw formation energy: -1.23 eV per atom
- Uncorrected energy: -3.468 eV per atom

abc: 7.603 10.324 10.383
angles: 83.18 69.86 69.65
Space group P1 (No. 1)
Unique sites:
Sb (0.000, 0.000, 0.000) (multiplicity 1)
Sb (0.091, 0.482, 0.333) (multiplicity 1)
Sb (0.293, 0.574, 0.911) (multiplicity 1)
Sb (0.847, 0.908, 0.421) (multiplicity 1)
Cl (0.013, 0.453, 0.569) (multiplicity 1)
Cl (0.136, 0.035, 0.767) (multiplicity 1)
Cl (0.265, 0.255, 0.264) (multiplicity 1)
Cl (0.401, 0.646, 0.685) (multiplicity 1)
Cl (0.463, 0.338, 0.884) (multiplicity 1)
Cl (0.516, 0.627, 0.985) (multiplicity 1)
Cl (0.548, 0.901, 0.415) (multiplicity 1)
Cl (0.704, 0.981, 0.999) (multiplicity 1)
Cl (0.753, 0.145, 0.450) (multiplicity 1)
Cl (0.786, 0.497, 0.318) (multiplicity 1)
Cl (0.814, 0.839, 0.646) (multiplicity 1)
Cl (0.875, 0.227, 0.075) (multiplicity 1)
Cl (0.997, 0.562, 0.902) (multiplicity 1)
F (0.109, 0.785, 0.971) (multiplicity 1)
F (0.123, 0.882, 0.373) (multiplicity 1)
F (0.154, 0.546, 0.128) (multiplicity 1)
F (0.243, 0.965, 0.035) (multiplicity 1)
F (0.322, 0.525, 0.316) (multiplicity 1)
F (0.912, 0.933, 0.206) (multiplicity 1)
F (0.959, 0.699, 0.359) (multiplicity 1)

=====

3.
Sb2Cl2F: relaxed, PBE.

Values from the calculation:
- Calculated volume: 24.57 Å³/atom
- Raw formation energy: -0.74 eV per atom
- Uncorrected energy: -3.500 eV per atom

abc: 6.838 6.838 5.253
angles: 90.00 90.00 90.00
Space group P4/mbm (No. 127)
Unique sites:
Sb (0.161, 0.339, 0.000) (multiplicity 4)
Cl (0.182, 0.318, 0.500) (multiplicity 4)
F (0.000, 0.000, 0.000) (multiplicity 2)

=====

4.
Sb3ClF: relaxed, PBE.

Values from the calculation:
- Calculated volume: 25.00 Å³/atom
- Raw formation energy: 0.06 eV per atom
- Uncorrected energy: -3.156 eV per atom

abc: 5.000 5.000 5.000
angles: 90.00 90.00 90.00
Space group Pm-3m (No. 221)
Unique sites:
Sb (0.000, 0.000, 0.500) (multiplicity 3)
Cl (0.500, 0.500, 0.500) (multiplicity 1)
F (0.000, 0.000, 0.000) (multiplicity 1)

=====

5.
SbClF: relaxed, PBE.

Values from the calculation:
- Calculated volume: 31.54 Å³/atom
- Raw formation energy: -1.09 eV per atom
- Uncorrected energy: -3.706 eV per atom

abc: 6.149 8.067 8.868
angles: 90.00 120.65 90.00
Space group P2_1/c (No. 14)
Unique sites:
Sb (0.028, 0.139, 0.256) (multiplicity 4)
Cl (0.345, 0.732, 0.776) (multiplicity 4)
F (0.127, 0.088, 0.724) (multiplicity 4)

=====

6.
SbCl2F: relaxed, PBE.

Values from the calculation:
- Calculated volume: 17.86 Å³/atom
- Raw formation energy: -0.74 eV per atom
- Uncorrected energy: -3.165 eV per atom

abc: 6.586 6.586 6.586
angles: 90.00 90.00 90.00
Space group Fm-3m (No. 225)
Unique sites:
Sb (0.000, 0.000, 0.000) (multiplicity 4)
Cl (0.250, 0.250, 0.250) (multiplicity 8)
F (0.000, 0.000, 0.500) (multiplicity 4)

=====

7.
SbCl2F: relaxed, PBE.

Values from the calculation:
- Calculated volume: 22.05 Å³/atom
- Raw formation energy: -0.51 eV per atom
- Uncorrected energy: -2.932 eV per atom

abc: 4.518 4.518 17.282
angles: 90.00 90.00 90.00
Space group I-42d (No. 122)
Unique sites:
Sb (0.000, 0.000, 0.000) (multiplicity 4)
Cl (0.235, 0.250, 0.125) (multiplicity 8)
F (0.000, 0.000, 0.500) (multiplicity 4)

=====

8.
SbCl2F: relaxed, PBE.

Values from the calculation:
- Calculated volume: 25.65 Å³/atom
- Raw formation energy: -0.38 eV per atom
- Uncorrected energy: -2.805 eV per atom

abc: 3.8627 3.8627 23.8249
angles: 90.00 90.00 120.00
Space group R-3m (No. 166, hexagonal axes)
Unique sites:
Sb (0.0000, 0.0000, 0.0000) (multiplicity 3)
Cl (0.0000, 0.0000, 0.4051) (multiplicity 6)
F (0.0000, 0.0000, 0.5000) (multiplicity 3)